DFT (PBE) results for BaNiRh2 after structural relaxation.

Output
**Energy of formation from the pure elements**: 1.2 eV/f.u.

Cell: 3.0841 4.2765 6.2863 Å, 90.00 103.72 90.00°
Last column: nearest neighbours and their distance in Å.
Element x y z (fractional)
1 Ba 0.0000 0.0000 0.0000  3 Rh 3.07-3.41, 2 Ba 3.08, 4 Ni 3.19
2 Ni 0.6420 0.5000 0.2937  4 Rh 2.48-2.49
3 Rh 0.2968 0.5000 0.6147  2 Ni 2.49, 4 Rh 2.73
4 Rh 0.7385 0.0000 0.4981  2 Ni 2.48, 4 Rh 2.73

DFT (PBE) results for Tl2In3Ga after structural relaxation.

Output
**Offset from the most stable computed form**: 0.026 eV per atom
**Energy of formation from the pure elements**: 0.3 eV/f.u.

Cell: 9.0002 9.0002 6.3715 Å, 90.00 90.00 39.74°
Last column: nearest neighbours and their distance in Å.
Element x y z (fractional)
1 Tl 0.1690 0.1994 0.2500  2 Tl 3.19, 5 In 3.41-3.46, 1 Ga 3.46
2 Tl 0.1994 0.1690 0.7500  2 Tl 3.19, 5 In 3.41-3.46, 1 Ga 3.46
3 Tl 0.8006 0.8310 0.2500  2 Tl 3.19, 5 In 3.41-3.46, 1 Ga 3.46
4 Tl 0.8310 0.8006 0.7500  2 Tl 3.19, 5 In 3.41-3.46, 1 Ga 3.46
5 In 0.2116 0.7884 0.2500  4 Ga 2.89-3.23
6 In 0.3634 0.3634 0.0000  2 Ga 3.17, 4 In 3.19-3.32, 4 Tl 3.43-3.46
7 In 0.3634 0.3634 0.5000  2 Ga 3.17, 4 In 3.19-3.32, 4 Tl 3.43-3.46
8 In 0.6366 0.6366 0.0000  2 Ga 3.17, 4 In 3.19-3.32, 4 Tl 3.43-3.46
9 In 0.6366 0.6366 0.5000  2 Ga 3.17, 4 In 3.19-3.32, 4 Tl 3.43-3.46
10 In 0.7884 0.2116 0.7500  4 Ga 2.89-3.23
11 Ga 0.2607 0.7393 0.7500  8 In 2.89-3.23
12 Ga 0.7393 0.2607 0.2500  8 In 2.89-3.23

DFT (PBE) results for Pm2DySn3 after structural relaxation.

Output
**Energy of formation from the pure elements**: -3.8 eV/f.u.

Cell: 8.5712 8.5712 5.8329 Å, 103.75 103.75 114.38°
Last column: nearest neighbours and their distance in Å.
Element x y z (fractional)
1 Pm 0.0830 0.9170 0.7500  6 Sn 3.21-3.30
2 Pm 0.2492 0.7508 0.2500  6 Sn 3.23-3.24
3 Pm 0.7508 0.2492 0.7500  6 Sn 3.23-3.24
4 Pm 0.9170 0.0830 0.2500  6 Sn 3.21-3.30
5 Dy 0.4162 0.5838 0.7500  6 Sn 3.18-3.21
6 Dy 0.5838 0.4162 0.2500  6 Sn 3.18-3.21
7 Sn 0.0000 0.5000 0.5000  2 Dy 3.21, 4 Pm 3.21-3.24
8 Sn 0.1727 0.3357 0.9943  2 Dy 3.18, 4 Pm 3.21-3.30
9 Sn 0.3357 0.1727 0.4943  2 Dy 3.18, 4 Pm 3.21-3.30
10 Sn 0.5000 0.0000 0.0000  2 Dy 3.21, 4 Pm 3.21-3.24
11 Sn 0.6643 0.8273 0.5057  2 Dy 3.18, 4 Pm 3.21-3.30
12 Sn 0.8273 0.6643 0.0057  2 Dy 3.18, 4 Pm 3.21-3.30

DFT (PBE) results for YbS2 after structural relaxation.

Output
**Calculated total energy**: -26.6 eV/cell

Cell: 3.7560 3.7560 8.4580 Å, 90.00 90.00 90.00°
Last column: nearest neighbours and their distance in Å.
Element x y z (fractional)
1 Yb 0.2500 0.2500 0.2143  9 S 2.76-3.06
2 Yb 0.7500 0.7500 0.7857  9 S 2.76-3.06
3 S 0.2500 0.2500 0.8724  5 Yb 2.76-2.89
4 S 0.2500 0.7500 0.5000  4 S 2.66
5 S 0.7500 0.2500 0.5000  4 S 2.66
6 S 0.7500 0.7500 0.1276  5 Yb 2.76-2.89

DFT (PBE) results for La3Ga6Pt5 after structural relaxation.

Output
**Energy of formation from the pure elements**: -13.4 eV/f.u.

Cell: 4.3687 13.2650 9.4814 Å, 90.00 90.00 90.00°
Last column: nearest neighbours and their distance in Å.
Element x y z (fractional)
1 La 0.2500 0.0537 0.2499  8 Ga 3.09-3.29, 6 Pt 3.14-3.43
2 La 0.2500 0.4463 0.2499  8 Ga 3.09-3.29, 6 Pt 3.14-3.43
3 La 0.2500 0.7500 0.2472  6 Pt 3.08-3.24, 2 Ga 3.29
4 La 0.7500 0.2500 0.7528  6 Pt 3.08-3.24, 2 Ga 3.29
5 La 0.7500 0.5537 0.7501  8 Ga 3.09-3.29, 6 Pt 3.14-3.43
6 La 0.7500 0.9463 0.7501  8 Ga 3.09-3.29, 6 Pt 3.14-3.43
7 Ga 0.2500 0.0717 0.9076  4 Pt 2.63-2.79, 1 Ga 2.84
8 Ga 0.2500 0.2500 0.0737  4 Pt 2.69, 2 Ga 2.84
9 Ga 0.2500 0.2500 0.4613  4 Pt 2.62-2.68
10 Ga 0.2500 0.4283 0.9076  4 Pt 2.63-2.79, 1 Ga 2.84
11 Ga 0.2500 0.5975 0.5205  4 Pt 2.60-2.72
12 Ga 0.2500 0.9025 0.5205  4 Pt 2.60-2.72
13 Ga 0.7500 0.0975 0.4795  4 Pt 2.60-2.72
14 Ga 0.7500 0.4025 0.4795  4 Pt 2.60-2.72
15 Ga 0.7500 0.5717 0.0924  4 Pt 2.63-2.79, 1 Ga 2.84
16 Ga 0.7500 0.7500 0.5387  4 Pt 2.62-2.68
17 Ga 0.7500 0.7500 0.9263  4 Pt 2.69, 2 Ga 2.84
18 Ga 0.7500 0.9283 0.0924  4 Pt 2.63-2.79, 1 Ga 2.84
19 Pt 0.2500 0.0929 0.6283  5 Ga 2.60-2.72
20 Pt 0.2500 0.4071 0.6283  5 Ga 2.60-2.72
21 Pt 0.2500 0.6348 0.9653  5 Ga 2.63-2.79, 1 Pt 2.93
22 Pt 0.2500 0.7500 0.7020  4 Ga 2.66-2.68, 2 Pt 2.93
23 Pt 0.2500 0.8652 0.9653  5 Ga 2.63-2.79, 1 Pt 2.93
24 Pt 0.7500 0.1348 0.0347  5 Ga 2.63-2.79, 1 Pt 2.93
25 Pt 0.7500 0.2500 0.2980  4 Ga 2.66-2.68, 2 Pt 2.93
26 Pt 0.7500 0.3652 0.0347  5 Ga 2.63-2.79, 1 Pt 2.93
27 Pt 0.7500 0.5929 0.3717  5 Ga 2.60-2.72
28 Pt 0.7500 0.9071 0.3717  5 Ga 2.60-2.72

DFT (PBE) results for TiNb3Si after structural relaxation.

Output
**Offset from the most stable computed form**: 0.000 eV per atom

Cell: 6.9345 6.9345 7.1136 Å, 90.00 90.00 120.00°
Last column: nearest neighbours and their distance in Å.
Element x y z (fractional)
1 Ti 0.0000 0.0000 0.0000  1 Si 2.60, 3 Nb 2.90
2 Ti 0.3333 0.6667 0.6667  1 Si 2.60, 3 Nb 2.90
3 Ti 0.6667 0.3333 0.3333  1 Si 2.60, 3 Nb 2.90
4 Nb 0.2013 0.4026 0.3248  2 Si 2.44-2.61
5 Nb 0.2013 0.7987 0.3248  2 Si 2.44-2.61
6 Nb 0.2640 0.1320 0.6581  2 Si 2.44-2.61
7 Nb 0.5346 0.0693 0.9914  2 Si 2.44-2.61
8 Nb 0.5346 0.4654 0.9914  2 Si 2.44-2.61
9 Nb 0.5974 0.7987 0.3248  2 Si 2.44-2.61
10 Nb 0.8680 0.1320 0.6581  2 Si 2.44-2.61
11 Nb 0.8680 0.7360 0.6581  2 Si 2.44-2.61
12 Nb 0.9307 0.4654 0.9914  2 Si 2.44-2.61
13 Si 0.0000 0.0000 0.3660  6 Nb 2.44-2.61, 1 Ti 2.60
14 Si 0.3333 0.6667 0.0326  6 Nb 2.44-2.61, 1 Ti 2.60
15 Si 0.6667 0.3333 0.6993  6 Nb 2.44-2.61, 1 Ti 2.60

DFT (PBE) results for TaTlNi2 after structural relaxation.

Output
**Offset from the most stable computed form**: 0.000 eV per atom
**Energy of formation from the pure elements**: 0.1 eV/f.u.

Cell: 3.2277 3.2277 6.1633 Å, 90.00 90.00 90.00°
Last column: nearest neighbours and their distance in Å.
Element x y z (fractional)
1 Ta 0.0000 0.0000 0.0000  8 Ni 2.61
2 Tl 0.0000 0.0000 0.5000  8 Ni 2.92, 2 Ta 3.08, 4 Tl 3.23
3 Ni 0.5000 0.5000 0.2053  1 Ni 2.53, 4 Ta 2.61
4 Ni 0.5000 0.5000 0.7947  1 Ni 2.53, 4 Ta 2.61

DFT (PBE) results for CaCdSiO4 after structural relaxation.

Output
**Calculated total energy**: -90.6 eV/cell

Cell: 5.5250 5.5250 6.7453 Å, 90.00 90.00 115.16°
Last column: nearest neighbours and their distance in Å.
Element x y z (fractional)
1 Ca 0.0000 0.0000 0.0000  6 O 2.34-2.38
2 Ca 0.0000 0.0000 0.5000  6 O 2.34-2.38
3 Cd 0.3268 0.6732 0.7500  4 O 2.18-2.37
4 Cd 0.6732 0.3268 0.2500  4 O 2.18-2.37
5 Si 0.3540 0.6460 0.2500  4 O 1.65-1.67
6 Si 0.6460 0.3540 0.7500  4 O 1.65-1.67
7 O 0.2384 0.3137 0.2500  1 Si 1.67
8 O 0.2479 0.7521 0.0550  1 Si 1.65
9 O 0.2479 0.7521 0.4450  1 Si 1.65
10 O 0.3137 0.2384 0.7500  1 Si 1.67
11 O 0.6863 0.7616 0.2500  1 Si 1.67
12 O 0.7521 0.2479 0.5550  1 Si 1.65
13 O 0.7521 0.2479 0.9450  1 Si 1.65
14 O 0.7616 0.6863 0.7500  1 Si 1.67

DFT (PBE) results for CaVCl4 after structural relaxation.

Output
**Calculated total energy**: -57.9 eV/cell

Cell: 13.6503 3.8601 6.6454 Å, 90.00 109.65 90.00°
Last column: nearest neighbours and their distance in Å.
Element x y z (fractional)
1 Ca 0.0000 0.0000 0.0000  6 Cl 2.72-2.75
2 Ca 0.5000 0.5000 0.0000  6 Cl 2.72-2.75
3 V 0.0000 0.5000 0.5000  6 Cl 2.50-2.54
4 V 0.5000 0.0000 0.5000  6 Cl 2.50-2.54
5 Cl 0.1055 0.0000 0.4329  2 V 2.54, 1 Ca 2.75
6 Cl 0.1114 0.5000 0.8848  1 V 2.50, 2 Ca 2.72
7 Cl 0.3886 0.0000 0.1152  1 V 2.50, 2 Ca 2.72
8 Cl 0.3945 0.5000 0.5671  2 V 2.54, 1 Ca 2.75
9 Cl 0.6055 0.5000 0.4329  2 V 2.54, 1 Ca 2.75
10 Cl 0.6114 0.0000 0.8848  1 V 2.50, 2 Ca 2.72
11 Cl 0.8886 0.5000 0.1152  1 V 2.50, 2 Ca 2.72
12 Cl 0.8945 0.0000 0.5671  2 V 2.54, 1 Ca 2.75

DFT (PBE) results for PmPrHoN3 after structural relaxation.

Output
**Calculated total energy**: -94.3 eV/cell

Cell: 6.1386 3.5710 9.2251 Å, 90.00 101.79 90.00°
Last column: nearest neighbours and their distance in Å.
Element x y z (fractional)
1 Pm 0.2307 0.2500 0.4532  6 N 2.44-2.69
2 Pm 0.7693 0.7500 0.5468  6 N 2.44-2.69
3 Pr 0.3487 0.7500 0.8051  7 N 2.57-2.79
4 Pr 0.6513 0.2500 0.1949  7 N 2.57-2.79
5 Ho 0.1472 0.7500 0.1383  5 N 2.27-2.51
6 Ho 0.8528 0.2500 0.8617  5 N 2.27-2.51
7 N 0.0367 0.2500 0.6588  1 Ho 2.37, 3 Pm 2.44-2.50
8 N 0.2423 0.2500 0.0119  3 Ho 2.27-2.51
9 N 0.4588 0.7500 0.3255  1 Ho 2.30, 1 Pm 2.49, 2 Pr 2.57
10 N 0.5412 0.2500 0.6745  1 Ho 2.30, 1 Pm 2.49, 2 Pr 2.57
11 N 0.7577 0.7500 0.9881  3 Ho 2.27-2.51
12 N 0.9633 0.7500 0.3412  1 Ho 2.37, 3 Pm 2.44-2.50